Entry 1:
Density functional theory data (PBE) for an optimized crystal structure of Nd3SmDyTm.

Results
Fermi-level density of states	17.36	states/eV per cell
crystal system	orthorhombic
total moment	0.00	μB/atom
formation enthalpy at 0 K	18.3	meV/atom
calculated volume	33.43	Å³ per atom

```
12
Lattice="2.552 -7.693 0.000 2.552 7.693 0.000 0.000 0.000 10.217" Properties=species:S:1:pos:R:3 pbc="T T T"
Nd 2.552 5.138 10.214
Nd 2.552 5.138 5.111
Nd 2.552 2.569 7.663
Nd 2.552 -2.569 2.554
Nd 2.552 -5.138 0.003
Nd 2.552 -5.138 5.106
Sm 2.552 0.000 0.000
Sm 2.552 0.000 5.108
Dy 2.552 7.666 7.663
Dy 2.552 -7.666 2.554
Tm 2.552 2.543 2.554
Tm 2.552 -2.543 7.663
```

***

Entry 2:
Density functional theory data (PBE) for an optimized crystal structure of CoBiSe2.

Results
distance to the lowest polymorph of the same formula	577	meV/atom
formation energy from raw total energies	0.336	eV per atom
Fermi-level density of states	5.03	states/eV per cell
crystal system	cubic
total moment	0.54	μB/atom
calculated volume	21.12	Å³ per atom

```
4
Lattice="0.000 3.483 3.483 3.483 0.000 3.483 3.483 3.483 0.000" Properties=species:S:1:pos:R:3 pbc="T T T"
Co 0.000 0.000 0.000
Bi 3.483 3.483 3.483
Se 1.741 1.741 1.741
Se 5.224 5.224 5.224
```

***

Entry 3:
Density functional theory data (PBE) for an optimized crystal structure of NdSn12Rh4.

Results
Fermi-level density of states	11.93	states/eV per cell
crystal system	cubic
total moment	0.00	μB/atom
formation enthalpy at 0 K	-318.3	meV/atom
calculated volume	24.76	Å³ per atom

```
17
Lattice="-4.721 4.721 4.721 4.721 -4.721 4.721 4.721 4.721 -4.721" Properties=species:S:1:pos:R:3 pbc="T T T"
Nd 0.000 0.000 0.000
Sn 3.198 0.000 1.527
Sn 6.243 0.000 1.527
Sn 4.721 3.194 -1.522
Sn 1.527 3.198 0.000
Sn 3.194 -1.522 4.721
Sn 0.000 1.527 3.198
Sn 4.721 3.194 1.522
Sn 1.527 6.243 0.000
Sn 3.194 1.522 4.721
Sn 0.000 1.527 6.243
Sn -1.522 4.721 3.194
Sn 1.522 4.721 3.194
Rh 2.360 2.360 -2.360
Rh 2.360 -2.360 2.360
Rh -2.360 2.360 2.360
Rh 2.360 2.360 2.360
```

***

Entry 4:
Density functional theory data (PBE) for an optimized crystal structure of Pm6CuNi2.

Results
Fermi-level density of states	18.39	states/eV per cell
crystal system	orthorhombic
total moment	0.00	μB/atom
formation enthalpy at 0 K	-177.5	meV/atom
calculated volume	26.04	Å³ per atom

```
18
Lattice="-4.726 4.922 5.036 4.726 -4.922 5.036 4.726 4.922 -5.036" Properties=species:S:1:pos:R:3 pbc="T T T"
Pm 4.726 3.069 -2.668
Pm 2.676 1.743 0.000
Pm 6.777 1.743 0.000
Pm 1.811 4.922 -1.743
Pm 2.916 0.000 3.293
Pm 0.000 1.853 2.368
Pm 4.726 3.069 2.668
Pm 1.811 4.922 1.743
Pm 2.916 0.000 6.779
Pm -2.050 3.179 5.036
Pm 2.050 3.179 5.036
Pm 0.000 1.853 7.704
Cu 0.000 0.000 0.000
Cu 0.000 0.000 5.036
Ni 4.726 0.000 1.216
Ni 0.000 3.422 0.000
Ni 0.000 6.422 0.000
Ni 0.000 4.922 3.821
```

***

Entry 5:
Density functional theory data (PBE) for an optimized crystal structure of CuOsS2.

Results
distance to the lowest polymorph of the same formula	363	meV/atom
formation energy from raw total energies	0.380	eV per atom
Fermi-level density of states	3.00	states/eV per cell
crystal system	trigonal
total moment	0.00	μB/atom
calculated volume	15.31	Å³ per atom

```
4
Lattice="1.530 0.883 7.557 -1.530 0.883 7.557 0.000 -1.766 7.557" Properties=species:S:1:pos:R:3 pbc="T T T"
Cu 0.000 0.000 0.000
Os 0.000 0.000 11.335
S 0.000 0.000 9.111
S 0.000 0.000 13.559
```

***

Entry 6:
Density functional theory data (PBE) for an optimized crystal structure of MgAlSiI2.

Results
formation energy from raw total energies	0.653	eV per atom
Fermi-level density of states	4.40	states/eV per cell
crystal system	tetragonal
total moment	0.30	μB/atom
calculated volume	35.52	Å³ per atom

```
5
Lattice="5.768 0.000 0.000 0.000 5.768 0.000 0.000 0.000 5.337" Properties=species:S:1:pos:R:3 pbc="T T T"
Mg 0.000 0.000 0.000
Al 0.000 0.000 2.669
Si 2.884 2.884 0.000
I 0.000 2.884 2.669
I 2.884 0.000 2.669
```

***

Entry 7:
Density functional theory data (PBE) for an optimized crystal structure of Th2Zr3Sb2.

Results
formation energy from raw total energies	-0.517	eV per atom
Fermi-level density of states	7.93	states/eV per cell
crystal system	monoclinic
total moment	0.00	μB/atom
calculated volume	26.59	Å³ per atom

```
7
Lattice="5.831 -2.070 0.000 5.831 2.070 0.000 -2.960 0.000 7.710" Properties=species:S:1:pos:R:3 pbc="T T T"
Th 0.573 0.000 2.204
Th 8.129 0.000 5.506
Zr 4.263 0.000 0.391
Zr 4.351 0.000 3.855
Zr 4.439 0.000 7.320
Sb -0.204 0.000 5.531
Sb 8.906 0.000 2.179
```

***

Entry 8:
Density functional theory data (PBE) for an optimized crystal structure of Ba3ZnPt.

Results
distance to the lowest polymorph of the same formula	0	meV/atom
Fermi-level density of states	2.71	states/eV per cell
crystal system	cubic
total moment	0.00	μB/atom
formation enthalpy at 0 K	-284.8	meV/atom
calculated volume	47.25	Å³ per atom

```
5
Lattice="6.182 0.000 0.000 0.000 6.182 0.000 0.000 0.000 6.182" Properties=species:S:1:pos:R:3 pbc="T T T"
Ba 0.000 0.000 3.091
Ba 0.000 3.091 0.000
Ba 3.091 0.000 0.000
Zn 3.091 3.091 3.091
Pt 0.000 0.000 0.000
```

***

Entry 9:
Density functional theory data (PBE) for an optimized crystal structure of DyGaSe3.

Results
distance to the lowest polymorph of the same formula	60	meV/atom
formation energy from raw total energies	-1.056	eV per atom
crystal system	orthorhombic
total moment	0.00	μB/atom
calculated volume	26.97	Å³ per atom

```
20
Lattice="8.004 0.000 0.000 0.000 4.007 0.000 0.000 0.000 16.815" Properties=species:S:1:pos:R:3 pbc="T T T"
Dy 1.679 1.002 0.627
Dy 2.323 3.005 9.034
Dy 5.681 1.002 7.781
Dy 6.325 3.005 16.189
Ga 0.787 3.005 4.897
Ga 3.215 1.002 13.305
Ga 4.789 3.005 3.510
Ga 7.218 1.002 11.918
Se 0.314 1.002 9.845
Se 1.083 3.005 15.629
Se 1.633 1.002 3.767
Se 2.369 3.005 12.175
Se 2.920 1.002 7.221
Se 3.689 3.005 1.437
Se 4.316 1.002 15.378
Se 5.085 3.005 9.594
Se 5.636 1.002 4.640
Se 6.371 3.005 13.048
Se 6.922 1.002 1.186
Se 7.691 3.005 6.970
```

***

Entry 10:
Density functional theory data (PBE) for an optimized crystal structure of KZn3P.

Results
distance to the lowest polymorph of the same formula	956	meV/atom
Fermi-level density of states	6.23	states/eV per cell
crystal system	cubic
total moment	0.42	μB/atom
formation enthalpy at 0 K	1214.7	meV/atom
calculated volume	49.27	Å³ per atom

```
5
Lattice="6.269 0.000 0.000 0.000 6.269 0.000 0.000 0.000 6.269" Properties=species:S:1:pos:R:3 pbc="T T T"
K 0.000 0.000 0.000
Zn 0.000 0.000 3.134
Zn 0.000 3.134 0.000
Zn 3.134 0.000 0.000
P 3.134 3.134 3.134
```